Compound: Be4C5
Source: Alexandria via LeMat-Bulk
Functional: PBE
Structure: optimized geometry

Cell lengths 6.011, 6.011, 6.011 Å; angles 92.36, 92.36, 156.57 degrees
Element x y z (fractional)
Be1 0.000 0.199 0.199
Be2 0.000 0.801 0.801
Be3 0.199 0.000 0.199
Be4 0.801 0.000 0.801
C1 0.000 0.000 0.000
C2 0.282 0.282 0.564
C3 0.282 0.718 0.000
C4 0.718 0.282 0.000
C5 0.718 0.718 0.436

Values from the calculation:
SG	I4/mmm, No. 139
DOS at the Fermi energy	3.4	states/eV per cell
final energy	-5.79	eV/atom
total moment	0.000	μB/cell
calculated formation energy	0.992	eV/atom


Compound: Te2MoRu
Source: Alexandria via LeMat-Bulk
Functional: PBE
Structure: optimized geometry

Cell lengths 4.521, 4.521, 5.667 Å; angles 101.80, 101.80, 42.25 degrees
Element x y z (fractional)
Te1 0.246 0.246 0.248
Te2 0.754 0.754 0.752
Mo1 0.500 0.500 0.000
Ru1 0.000 0.000 0.500

Values from the calculation:
SG	C2/m, No. 12
DOS at the Fermi energy	4.2	states/eV per cell
final energy	-6.23	eV/atom
total moment	0.000	μB/cell


Compound: RbCr3Hg
Source: Alexandria via LeMat-Bulk
Functional: PBE
Structure: optimized geometry

Cell lengths 6.061, 6.061, 6.061 Å; angles 90.00, 90.00, 90.00 degrees
Element x y z (fractional)
Rb1 0.000 0.000 0.000
Cr1 0.000 0.000 0.500
Cr2 0.000 0.500 0.000
Cr3 0.500 0.000 0.000
Hg1 0.500 0.500 0.500

Values from the calculation:
SG	Pm-3m, No. 221
DOS at the Fermi energy	0.9	states/eV per cell
final energy	-3.80	eV/atom
total moment	17.012	μB/cell
calculated formation energy	2.229	eV/atom


Compound: Pu2Ga3Au2
Source: Alexandria via LeMat-Bulk
Functional: PBE
Structure: optimized geometry

Cell lengths 6.188, 6.188, 7.632 Å; angles 122.92, 122.92, 33.03 degrees
Element x y z (fractional)
Pu1 0.186 0.186 0.386
Pu2 0.814 0.814 0.614
Ga1 0.429 0.429 0.067
Ga2 0.500 0.500 0.500
Ga3 0.571 0.571 0.933
Au1 0.167 0.167 0.790
Au2 0.833 0.833 0.210

Values from the calculation:
SG	C2/m, No. 12
DOS at the Fermi energy	8.4	states/eV per cell
final energy	-6.49	eV/atom
total moment	1.155	μB/cell
calculated formation energy	-0.163	eV/atom